MgAl3As: optimized geometry, PBE.

Unit cell a=4.9622 b=4.9622 c=4.9622 alpha=90.00 beta=90.00 gamma=90.00
Last column: nearest neighbours and their distance in Å.
Positions (direct):
Mg (0.0000, 0.0000, 0.0000)  12 Al 3.51
Al (0.0000, 0.5000, 0.5000)  2 As 2.48
Al (0.5000, 0.0000, 0.5000)  2 As 2.48
Al (0.5000, 0.5000, 0.0000)  2 As 2.48
As (0.5000, 0.5000, 0.5000)  6 Al 2.48

Output
ΔH_f (0 K), eV/atom: 0.530
Space-group type: No. 221
M_tot, Bohr magnetons per cell: 0.0

MgAlAs2: optimized geometry, PBE.

Unit cell a=9.6132 b=9.6132 c=9.6132 alpha=18.45 beta=18.45 gamma=18.45
Last column: nearest neighbours and their distance in Å.
Positions (direct):
Mg (0.0000, 0.0000, 0.0000)  6 As 2.83, 6 Mg 3.08
Al (0.5000, 0.5000, 0.5000)  6 Al 3.08, 6 As 3.09
As (0.2559, 0.2559, 0.2559)  3 Mg 2.83, 6 As 3.08, 3 Al 3.09
As (0.7441, 0.7441, 0.7441)  3 Mg 2.83, 6 As 3.08, 3 Al 3.09

Output
ΔH_f (0 K), eV/atom: 0.088
Space-group type: No. 166
M_tot, Bohr magnetons per cell: 0.0

MgAlAs2: optimized geometry, PBE.

Unit cell a=6.9916 b=6.9916 c=6.9916 alpha=128.31 beta=128.31 gamma=76.12
Last column: nearest neighbours and their distance in Å.
Positions (direct):
Mg (0.0000, 0.0000, 0.0000)  4 As 2.64
Mg (0.7500, 0.2500, 0.5000)  4 As 2.64
Al (0.2500, 0.7500, 0.5000)  4 As 2.48
Al (0.5000, 0.5000, 0.0000)  4 As 2.48
As (0.1483, 0.6250, 0.0233)  2 Al 2.48, 2 Mg 2.64
As (0.3750, 0.3983, 0.5233)  2 Al 2.48, 2 Mg 2.64
As (0.6017, 0.1250, 0.9767)  2 Al 2.48, 2 Mg 2.64
As (0.8750, 0.8517, 0.4767)  2 Al 2.48, 2 Mg 2.64

Output
ΔH_f (0 K), eV/atom: -0.281
Space-group type: No. 122
M_tot, Bohr magnetons per cell: 0.0

Mg4AlAs: optimized geometry, PBE.

Unit cell a=5.6857 b=5.6857 c=5.6857 alpha=60.00 beta=60.00 gamma=60.00
Last column: nearest neighbours and their distance in Å.
Positions (direct):
Mg (0.1251, 0.1251, 0.1251)  6 Mg 2.84-2.85
Mg (0.1251, 0.1251, 0.6246)  6 Mg 2.84-2.85
Mg (0.1251, 0.6246, 0.1251)  6 Mg 2.84-2.85
Mg (0.6246, 0.1251, 0.1251)  6 Mg 2.84-2.85
Al (0.7500, 0.7500, 0.7500)  12 Mg 3.33, 4 As 3.48
As (0.5000, 0.5000, 0.5000)  12 Mg 3.33, 4 Al 3.48

Output
ΔH_f (0 K), eV/atom: 0.187
Space-group type: No. 216
M_tot, Bohr magnetons per cell: 0.0

Q: The lowest ΔH_f (0 K) belongs to which entry?
A: number 3

Q: Number 2 is which compound?
A: MgAlAs2

Q: ΔH_f (0 K) of number 3 (MgAlAs2)?
A: -0.281 eV/atom

Q: Number 1 is which compound?
A: MgAl3As